# 1
Material: AcTm4Ge4
Method: DFT, GGA-PBE
State: relaxed

Structure (POSCAR):
```
AcTm4Ge4
1.0
5.671 0.000 0.000
0.000 9.426 0.000
0.000 0.000 9.426
Ac Ge Tm
2 8 8
Cartesian
0.000 0.000 0.000
2.836 4.713 4.713
0.573 7.836 6.454
5.098 2.973 7.836
3.409 1.741 6.303
2.262 3.123 1.741
2.262 6.303 7.686
5.098 6.454 1.590
3.409 7.686 3.123
0.573 1.590 2.973
5.024 3.604 1.307
2.188 6.020 1.109
3.483 8.317 6.020
0.647 8.119 3.604
0.647 1.307 5.822
3.483 1.109 3.406
5.024 5.822 8.119
2.188 3.406 8.317
```

Results
ρ: 7.86 g cm⁻³
total moment: 0.000 μB per formula unit
formation energy: -0.600 eV per atom
energy: -45.86 eV per formula unit

# 2
Material: Na4LiPb
Method: DFT, GGA-PBE
State: relaxed

Structure (POSCAR):
```
Na4LiPb
1.0
-1.279 -4.675 -2.707
4.009 1.705 -4.838
8.529 -5.337 5.188
Na Li Pb
8 2 2
Cartesian
8.777 -6.118 -2.101
6.751 -4.842 2.346
4.777 -6.345 -2.031
4.445 -3.407 -4.736
1.725 -1.095 -3.963
6.308 -3.621 -1.746
2.555 -2.216 -0.206
0.199 -3.802 -4.238
4.029 -4.837 0.752
3.605 1.531 -4.352
-0.428 -2.212 -1.573
6.805 -5.685 -4.686
```

Results
ρ: 2.48 g cm⁻³
total moment: 0.000 μB per formula unit
formation energy: -0.025 eV per atom
relative energy among the computed polymorphs: 47.9 meV per atom
energy: -11.05 eV per formula unit

# 3
Material: Lu2CdAg
Method: DFT, GGA-PBE
State: relaxed

Structure (POSCAR):
```
Lu2CdAg
1.0
-1.215 -1.912 2.412
1.947 -0.940 2.505
-2.724 8.155 7.363
Cd Lu Ag
1 2 1
Cartesian
0.000 0.000 0.000
-1.879 5.560 5.732
-0.114 -0.258 6.548
-0.996 2.651 6.140
```

Results
ρ: 8.95 g cm⁻³
total moment: 0.001 μB per formula unit
formation energy: 0.171 eV per atom
relative energy among the computed polymorphs: 489.5 meV per atom
energy: -12.13 eV per formula unit

# 4
Material: MgBeNi
Method: DFT, GGA-PBE
State: relaxed

Structure (POSCAR):
```
MgBeNi
1.0
2.752 0.000 0.000
-1.376 2.383 0.000
0.000 0.000 5.974
Be Mg Ni
1 1 1
Cartesian
0.000 0.000 5.726
1.376 0.794 2.037
0.000 1.589 4.185
```

Results
ρ: 3.90 g cm⁻³
total moment: 0.000 μB per formula unit
formation energy: 0.164 eV per atom
relative energy among the computed polymorphs: 402.1 meV per atom
energy: -10.61 eV per formula unit

# 5
Material: MgTc2W
Method: DFT, GGA-PBE
State: relaxed

Structure (POSCAR):
```
MgTc2W
1.0
-2.346 1.371 -0.137
0.930 -0.584 -2.489
-4.629 -7.909 0.126
Mg Tc W
1 2 1
Cartesian
-4.206 -5.584 -1.218
-0.051 -0.088 0.001
-1.847 -1.553 -1.282
-2.255 -3.852 0.061
```

Results
ρ: 10.59 g cm⁻³
total moment: 0.000 μB per formula unit
formation energy: 0.267 eV per atom
energy: -34.21 eV per formula unit

# 6
Material: Ac4ErSe5
Method: DFT, GGA-PBE
State: relaxed

Structure (POSCAR):
```
Ac4ErSe5
1.0
-1.560 -2.740 -3.070
4.113 -1.133 -1.079
-1.694 -9.529 12.517
Se Ac Er
5 4 1
Cartesian
1.277 -1.936 -2.075
1.108 -6.579 2.154
-0.249 -6.822 6.213
0.936 -11.288 6.442
-0.077 -2.114 1.925
1.022 -8.927 4.292
-0.334 -9.177 8.358
-0.163 -4.475 4.075
1.193 -4.224 0.009
0.000 0.000 0.000
```

Results
ρ: 8.13 g cm⁻³
total moment: 0.000 μB per formula unit
energy relative to the elements, uncorrected: -1.782 eV/atom
energy: -56.24 eV per formula unit

# 7
Material: AcHfCl6
Method: DFT, GGA-PBE
State: relaxed

Structure (POSCAR):
```
AcHfCl6
1.0
-4.817 -4.979 1.067
4.966 1.385 4.748
-3.792 5.261 0.984
Cl Ac Hf
6 1 1
Cartesian
-1.009 -1.155 4.678
-4.189 0.454 4.218
-1.241 2.371 5.327
0.546 1.213 2.581
-2.402 -0.704 1.472
-2.633 2.822 2.121
0.000 0.000 0.000
-1.821 0.834 3.400
```

Results
ρ: 3.93 g cm⁻³
total moment: 1.026 μB per formula unit
energy relative to the elements, uncorrected: -1.950 eV/atom
energy: -40.74 eV per formula unit

# 8
Material: TbNd2ErS5
Method: DFT, GGA-PBE
State: relaxed

Structure (POSCAR):
```
TbNd2ErS5
1.0
4.848 0.000 0.000
0.000 4.848 0.000
0.000 0.000 10.276
Nd S Er Tb
2 5 1 1
Cartesian
2.424 2.424 3.046
2.424 2.424 7.230
2.424 2.424 0.000
0.000 0.000 2.530
0.000 0.000 7.746
2.424 0.000 5.138
0.000 2.424 5.138
0.000 0.000 5.138
0.000 0.000 0.000
```

Results
ρ: 5.33 g cm⁻³
total moment: 0.000 μB per formula unit
energy relative to the elements, uncorrected: -1.475 eV/atom
energy: -52.64 eV per formula unit

# 9
Material: PrTm2Au
Method: DFT, GGA-PBE
State: relaxed

Structure (POSCAR):
```
PrTm2Au
1.0
-3.648 0.033 0.776
-1.158 -0.280 3.535
-1.329 9.765 2.305
Pr Tm Au
1 2 1
Cartesian
-3.068 4.759 3.308
-4.588 7.632 5.005
-1.548 1.886 1.610
0.000 0.000 0.000
```

Results
ρ: 9.42 g cm⁻³
total moment: 0.000 μB per formula unit
formation energy: -0.303 eV per atom
relative energy among the computed polymorphs: 122.7 meV per atom
energy: -18.21 eV per formula unit

# 10
Material: Cs2DySnSe5
Method: DFT, GGA-PBE
State: relaxed

Structure (POSCAR):
```
Cs2DySnSe5
1.0
4.165 0.000 0.000
-2.083 10.750 0.000
0.000 0.000 15.676
Se Cs Dy Sn
10 4 2 2
Cartesian
0.000 6.847 6.141
0.000 6.577 10.119
0.000 1.126 0.414
2.083 4.173 2.280
2.083 0.047 12.353
2.083 9.624 8.252
2.083 3.902 13.979
0.000 10.703 4.515
2.083 3.743 8.000
0.000 7.006 0.162
0.000 2.844 10.824
0.000 2.973 5.058
2.083 7.777 12.897
2.083 7.906 2.986
0.000 4.285 0.434
2.083 6.465 8.272
2.083 1.376 14.441
0.000 9.373 6.602
```

Results
ρ: 4.46 g cm⁻³
total moment: 0.930 μB per formula unit
energy relative to the elements, uncorrected: -1.022 eV/atom
energy: -36.94 eV per formula unit

# 11
Material: Pr2Nd8Cd
Method: DFT, GGA-PBE
State: relaxed

Structure (POSCAR):
```
Pr2Nd8Cd
1.0
-1.283 1.293 4.851
3.431 -5.320 -0.442
11.984 4.144 2.065
Nd Pr Cd
8 2 1
Cartesian
11.836 -0.270 5.970
6.786 -0.852 4.790
12.318 1.476 2.865
4.173 1.316 3.521
1.813 -1.359 3.610
2.295 0.387 0.504
9.958 -1.198 2.953
7.345 0.970 1.684
9.249 1.974 4.688
4.882 -1.857 1.786
-0.642 0.647 2.426
```

Results
ρ: 6.87 g cm⁻³
total moment: 0.000 μB per formula unit
formation energy: -0.022 eV per atom
relative energy among the computed polymorphs: 0.0 meV per atom
energy: -48.86 eV per formula unit

# 12
Material: Cu2HgTe2
Method: DFT, GGA-PBE
State: relaxed

Structure (POSCAR):
```
Cu2HgTe2
1.0
6.596 0.034 0.349
-1.337 6.459 0.349
-2.036 -2.514 5.684
Te Cu Hg
4 4 2
Cartesian
1.963 2.745 1.770
4.952 0.324 1.770
1.259 1.234 4.612
-1.730 3.655 4.612
1.998 5.189 0.740
3.642 1.776 3.582
-0.420 2.203 2.800
1.224 -1.210 5.642
-0.607 4.827 1.770
3.830 -0.848 4.612
```

Results
ρ: 7.62 g cm⁻³
total moment: 0.000 μB per formula unit
relative energy among the computed polymorphs: 73.1 meV per atom
energy relative to the elements, uncorrected: 0.035 eV/atom
energy: -14.60 eV per formula unit

# 13
Material: ReSi2Os
Method: DFT, GGA-PBE
State: relaxed

Structure (POSCAR):
```
ReSi2Os
1.0
5.593 0.003 -0.001
3.526 4.342 0.001
-4.299 -2.719 2.326
Os Re Si
1 1 2
Cartesian
4.838 2.305 0.000
2.224 2.055 1.163
8.745 4.166 0.000
2.692 -0.384 1.162
```

Results
ρ: 12.72 g cm⁻³
total moment: 0.000 μB per formula unit
energy relative to the elements, uncorrected: -0.122 eV/atom
energy: -35.01 eV per formula unit

# 14
Material: RbErWN3
Method: DFT, GGA-PBE
State: relaxed

Structure (POSCAR):
```
RbErWN3
1.0
3.904 0.000 0.000
-1.952 6.719 -0.018
0.000 -1.973 8.025
N Er Rb W
6 2 2 2
Cartesian
1.952 -0.511 2.827
0.000 1.456 2.974
1.952 3.289 5.034
0.000 0.303 6.148
0.000 5.256 5.180
1.952 4.442 1.859
0.000 3.713 3.337
1.952 1.032 4.671
0.000 2.924 7.476
1.952 1.822 0.531
0.000 -0.539 2.677
1.952 5.284 5.331
```

Results
ρ: 7.55 g cm⁻³
total moment: 0.000 μB per formula unit
energy relative to the elements, uncorrected: -0.608 eV/atom
energy: -47.11 eV per formula unit

# 15
Material: Er2AlGe2Ru5
Method: DFT, GGA-PBE
State: relaxed

Structure (POSCAR):
```
Er2AlGe2Ru5
1.0
3.311 0.000 0.000
0.000 9.978 0.000
0.000 0.000 9.978
Ge Ru Er Al
4 10 4 2
Cartesian
0.000 1.300 6.290
0.000 8.678 3.689
0.000 6.290 8.678
0.000 3.689 1.300
1.656 7.980 9.344
1.656 0.000 4.989
1.656 2.991 5.623
1.656 4.989 0.000
1.656 0.634 7.980
1.656 9.344 1.998
1.656 5.623 6.987
1.656 6.987 4.355
1.656 4.355 2.991
1.656 1.998 0.634
0.000 1.710 3.279
0.000 3.279 8.268
0.000 8.268 6.699
0.000 6.699 1.710
0.000 4.989 4.989
0.000 0.000 0.000
```

Results
ρ: 10.20 g cm⁻³
total moment: 0.000 μB per formula unit
formation energy: -0.490 eV per atom
energy: -73.38 eV per formula unit

# 16
Material: CePRuS
Method: DFT, GGA-PBE
State: relaxed

Structure (POSCAR):
```
CePRuS
1.0
4.172 0.000 0.000
0.000 4.172 0.000
0.000 0.000 8.703
Ce Ru P S
2 2 2 2
Cartesian
0.000 2.086 2.585
2.086 0.000 6.117
0.000 0.000 0.000
2.086 2.086 0.000
0.000 2.086 7.554
2.086 0.000 1.149
0.000 0.000 4.351
2.086 2.086 4.351
```

Results
ρ: 6.67 g cm⁻³
total moment: 0.513 μB per formula unit
energy relative to the elements, uncorrected: -1.227 eV/atom
energy: -29.66 eV per formula unit

# 17
Material: LaRu2S
Method: DFT, GGA-PBE
State: relaxed

Structure (POSCAR):
```
LaRu2S
1.0
-0.481 -1.459 4.414
3.019 -3.472 -0.818
7.256 2.222 3.999
S Ru La
2 4 2
Cartesian
5.772 -1.857 2.489
1.269 -2.465 1.798
3.562 -2.035 1.763
7.169 -2.079 6.279
1.970 -0.551 2.933
6.888 -0.750 4.213
4.022 -0.851 5.105
0.000 0.000 0.000
```

Results
ρ: 7.17 g cm⁻³
total moment: 0.001 μB per formula unit
energy relative to the elements, uncorrected: -0.306 eV/atom
energy: -28.83 eV per formula unit

# 18
Material: Ag2C3
Method: DFT, GGA-PBE
State: relaxed

Structure (POSCAR):
```
Ag2C3
1.0
7.152 1.615 5.537
3.689 6.218 3.032
0.045 -1.654 6.059
C Ag
6 4
Cartesian
8.573 3.905 11.969
8.165 4.634 10.972
5.851 2.361 8.312
5.035 3.818 6.317
5.443 3.089 7.315
7.756 5.362 9.975
10.852 6.996 11.597
5.477 2.272 10.347
2.755 0.728 6.690
8.131 5.451 7.939
```

Results
ρ: 3.57 g cm⁻³
total moment: 0.000 μB per formula unit
formation energy: 1.198 eV per atom
relative energy among the computed polymorphs: 0.0 meV per atom
energy: -27.38 eV per formula unit

# 19
Material: Rb2Be2HgCl6
Method: DFT, GGA-PBE
State: relaxed

Structure (POSCAR):
```
Rb2Be2HgCl6
1.0
8.045 0.704 0.581
4.747 7.287 0.510
0.232 -3.629 8.082
Cl Hg Rb Be
6 1 2 2
Cartesian
8.142 0.538 3.753
4.882 3.824 5.419
3.434 1.288 7.096
6.402 2.427 8.037
6.622 1.936 1.136
9.589 3.075 2.077
4.138 -1.462 4.331
8.724 0.204 7.046
4.299 4.159 2.127
4.881 2.533 6.844
8.143 1.830 2.328
```

Results
ρ: 2.22 g cm⁻³
total moment: 0.000 μB per formula unit
energy relative to the elements, uncorrected: -1.480 eV/atom
energy: -37.05 eV per formula unit

# 20
Material: Ca2NbIrO6
Method: DFT, GGA-PBE
State: relaxed

Structure (POSCAR):
```
Ca2NbIrO6
1.0
4.152 0.000 0.000
0.000 5.607 0.000
0.000 0.000 5.607
O Nb Ca Ir
6 1 2 1
Cartesian
2.819 4.223 4.223
2.819 1.384 4.223
0.656 0.000 0.000
2.819 4.223 1.384
0.706 2.803 2.803
2.819 1.384 1.384
2.606 0.000 0.000
0.219 0.000 2.803
0.219 2.803 0.000
2.782 2.803 2.803
```

Results
ρ: 5.87 g cm⁻³
total moment: 0.077 μB per formula unit
energy relative to the elements, uncorrected: -2.153 eV/atom
energy: -74.21 eV per formula unit